(1)
Computed, not measured: Re2TeRu after structural relaxation at the PBE level of DFT.

abc: 5.776 5.776 11.452
angles: 90.00 90.00 90.00
Space group I-42d (No. 122)
Unique sites:
Re  0.215  0.250  0.125
Te  0.000  0.000  0.500
Ru  0.000  0.000  0.000


(2)
Computed, not measured: ReTe2Ru after structural relaxation at the PBE level of DFT.

Offset from the most stable computed form ... 0.393 eV per atom

abc: 5.925 5.925 11.824
angles: 90.00 90.00 90.00
Space group I-42d (No. 122)
Unique sites:
Re  0.000  0.000  0.000
Te  0.247  0.250  0.625
Ru  0.000  0.000  0.500


(3)
Computed, not measured: ReTe2Ru after structural relaxation at the PBE level of DFT.

Offset from the most stable computed form ... 0.648 eV per atom

abc: 2.906 4.384 6.386
angles: 90.00 90.05 90.00
Space group P2/m (No. 10)
Unique sites:
Re  0.000  0.000  0.000
Te  0.002  0.500  0.746
Ru  0.000  0.000  0.500


(4)
Computed, not measured: Re2TeRu after structural relaxation at the PBE level of DFT.

abc: 2.909 4.161 5.623
angles: 90.00 101.49 90.00
Space group P2/m (No. 10)
Unique sites:
Re  0.090  0.000  0.222
Te  0.500  0.500  0.500
Ru  0.500  0.500  0.000


(5)
Computed, not measured: ReTe2Ru after structural relaxation at the PBE level of DFT.

Offset from the most stable computed form ... 0.757 eV per atom

abc: 6.311 8.749 3.232
angles: 90.00 119.39 90.00
Space group C2/m (No. 12)
Unique sites:
Re  0.000  0.000  0.000
Te  0.250  0.250  0.500
Ru  0.000  0.500  0.000


(6)
Computed, not measured: Re2TeRu after structural relaxation at the PBE level of DFT.

abc: 4.039 4.039 7.814
angles: 90.00 90.00 90.00
Space group I-4m2 (No. 119)
Unique sites:
Re  0.000  0.000  0.000
Re  0.000  0.500  0.250
Te  0.000  0.000  0.500
Ru  0.000  0.500  0.750


(7)
Computed, not measured: ReTe2Ru after structural relaxation at the PBE level of DFT.

Offset from the most stable computed form ... 0.616 eV per atom

abc: 3.965 3.965 9.513
angles: 90.00 90.00 90.00
Space group I-4m2 (No. 119)
Unique sites:
Re  0.000  0.000  0.000
Te  0.000  0.000  0.500
Te  0.000  0.500  0.250
Ru  0.000  0.500  0.750


(8)
Computed, not measured: ReTe2Ru after structural relaxation at the PBE level of DFT.

Offset from the most stable computed form ... 0.759 eV per atom

abc: 3.221 4.397 5.480
angles: 90.00 90.00 90.00
Space group Pmmm (No. 47)
Unique sites:
Re  0.000  0.000  0.000
Te  0.000  0.500  0.500
Te  0.500  0.500  0.000
Ru  0.500  0.000  0.500


What are the energy values for these records? In order: -129.9 -101.0 -24.2 -34.7 -47.6 -69.3 -48.7 -23.8 eV per cell.
What are the magnetization values for these records? In order: 0.00 0.00 0.00 0.00 0.00 0.00 0.00 0.00 μB/f.u..